Here is a relaxed Zn2SnIr2 crystal from Alexandria. Energies are from GGA-PBE.

Unit cell a=7.2594 b=7.2594 c=3.0851 alpha=90.00 beta=90.00 gamma=90.00
With the nearest neighbours (Å) after each atom.
Sites, in units of the cell vectors:
Zn 0.1458 0.3542 0.0000  6 Ir 2.60-2.64
Zn 0.3542 0.8542 0.0000  6 Ir 2.60-2.64
Zn 0.6458 0.1458 0.0000  6 Ir 2.60-2.64
Zn 0.8542 0.6458 0.0000  6 Ir 2.60-2.64
Sn 0.0000 0.0000 0.5000  4 Ir 2.77, 2 Sn 3.09
Sn 0.5000 0.5000 0.5000  4 Ir 2.77, 2 Sn 3.09
Ir 0.1497 0.6497 0.5000  6 Zn 2.60-2.64, 2 Sn 2.77
Ir 0.3503 0.1497 0.5000  6 Zn 2.60-2.64, 2 Sn 2.77
Ir 0.6497 0.8503 0.5000  6 Zn 2.60-2.64, 2 Sn 2.77
Ir 0.8503 0.3503 0.5000  6 Zn 2.60-2.64, 2 Sn 2.77

Values from the calculation:
The energy relative to the elements comes out at -31 kJ/mol of formula units. Its crystal system is tetragonal. As for the density: 12.95 g/cm³. The volume is 16.26 A^3/atom. The space-group type is P4/mbm (127).



Here is a relaxed ZnSnIr2 crystal from Alexandria. Energies are from GGA-PBE.

Unit cell a=4.6117 b=4.6117 c=4.6117 alpha=125.30 beta=125.30 gamma=81.04
With the nearest neighbours (Å) after each atom.
Sites, in units of the cell vectors:
Zn 0.0000 0.0000 0.0000  8 Ir 2.75, 4 Sn 3.00
Sn 0.5000 0.5000 0.0000  8 Ir 2.75, 4 Zn 3.00
Ir 0.2500 0.7500 0.5000  4 Sn 2.75, 4 Zn 2.75, 4 Ir 3.00
Ir 0.7500 0.2500 0.5000  4 Sn 2.75, 4 Zn 2.75, 4 Ir 3.00

Values from the calculation:
The energy relative to the elements comes out at -56 kJ/mol of formula units. Its crystal system is tetragonal. As for the density: 15.00 g/cm³. The volume is 15.74 A^3/atom. The space-group type is I4/mmm (139).



Here is a relaxed ZnSn2Ir2 crystal from Alexandria. Energies are from GGA-PBE.

Unit cell a=7.0426 b=7.0426 c=3.6920 alpha=90.00 beta=90.00 gamma=90.00
With the nearest neighbours (Å) after each atom.
Sites, in units of the cell vectors:
Zn 0.0000 0.0000 0.0000  4 Ir 2.70
Zn 0.5000 0.5000 0.0000  4 Ir 2.70
Sn 0.1567 0.3433 0.5000  6 Ir 2.70-2.82
Sn 0.3433 0.8433 0.5000  6 Ir 2.70-2.82
Sn 0.6567 0.1567 0.5000  6 Ir 2.70-2.82
Sn 0.8433 0.6567 0.5000  6 Ir 2.70-2.82
Ir 0.1449 0.6449 0.0000  2 Zn 2.70, 6 Sn 2.70-2.82, 1 Ir 2.89
Ir 0.3551 0.1449 0.0000  2 Zn 2.70, 6 Sn 2.70-2.82, 1 Ir 2.89
Ir 0.6449 0.8551 0.0000  2 Zn 2.70, 6 Sn 2.70-2.82, 1 Ir 2.89
Ir 0.8551 0.3551 0.0000  2 Zn 2.70, 6 Sn 2.70-2.82, 1 Ir 2.89

Values from the calculation:
The energy relative to the elements comes out at -38 kJ/mol of formula units. Its crystal system is tetragonal. As for the density: 12.46 g/cm³. The volume is 18.31 A^3/atom. The space-group type is P4/mbm (127).



Here is a relaxed ZnSn2Ir2 crystal from Alexandria. Energies are from GGA-PBE.

Unit cell a=7.9505 b=7.9505 c=2.9549 alpha=90.00 beta=90.00 gamma=90.00
With the nearest neighbours (Å) after each atom.
Sites, in units of the cell vectors:
Zn 0.0000 0.0000 0.0000  2 Zn 2.95, 4 Sn 3.00
Zn 0.5000 0.5000 0.0000  2 Zn 2.95, 4 Sn 3.00
Sn 0.1560 0.3440 0.0000  6 Ir 2.74-2.78, 2 Sn 2.95, 2 Zn 3.00
Sn 0.3440 0.8440 0.0000  6 Ir 2.74-2.78, 2 Sn 2.95, 2 Zn 3.00
Sn 0.6560 0.1560 0.0000  6 Ir 2.74-2.78, 2 Sn 2.95, 2 Zn 3.00
Sn 0.8440 0.6560 0.0000  6 Ir 2.74-2.78, 2 Sn 2.95, 2 Zn 3.00
Ir 0.1390 0.6390 0.5000  6 Sn 2.74-2.78, 2 Ir 2.95
Ir 0.3610 0.1390 0.5000  6 Sn 2.74-2.78, 2 Ir 2.95
Ir 0.6390 0.8610 0.5000  6 Sn 2.74-2.78, 2 Ir 2.95
Ir 0.8610 0.3610 0.5000  6 Sn 2.74-2.78, 2 Ir 2.95

Values from the calculation:
The energy relative to the elements comes out at 51 kJ/mol of formula units. Its crystal system is tetragonal. As for the density: 12.22 g/cm³. The volume is 18.68 A^3/atom. The space-group type is P4/mbm (127).



Here is a relaxed ZnSn2Ir2 crystal from Alexandria. Energies are from GGA-PBE.

Unit cell a=4.4221 b=4.4221 c=5.5201 alpha=90.00 beta=90.00 gamma=120.00
With the nearest neighbours (Å) after each atom.
Sites, in units of the cell vectors:
Zn 0.0000 0.0000 0.0000  6 Ir 2.71
Sn 0.3333 0.6667 0.6611  5 Ir 2.73-2.78
Sn 0.6667 0.3333 0.3389  5 Ir 2.73-2.78
Ir 0.3333 0.6667 0.1651  3 Zn 2.71, 5 Sn 2.73-2.78
Ir 0.6667 0.3333 0.8349  3 Zn 2.71, 5 Sn 2.73-2.78

Values from the calculation:
The energy relative to the elements comes out at -98 kJ/mol of formula units. Its crystal system is trigonal. As for the density: 12.21 g/cm³. The volume is 18.70 A^3/atom. The space-group type is P-3m1 (164).



Here is a relaxed ZnSn2Ir crystal from Alexandria. Energies are from GGA-PBE.

Unit cell a=6.7620 b=6.7620 c=6.7620 alpha=97.72 beta=97.72 gamma=136.99
With the nearest neighbours (Å) after each atom.
Sites, in units of the cell vectors:
Zn 0.0000 0.0000 0.0000  2 Ir 2.48
Zn 0.7500 0.2500 0.5000  2 Ir 2.48
Sn 0.2328 0.1250 0.6078  2 Ir 2.63
Sn 0.3750 0.7672 0.8922  2 Ir 2.63
Sn 0.5172 0.6250 0.3922  2 Ir 2.63
Sn 0.8750 0.4828 0.1078  2 Ir 2.63
Ir 0.2500 0.7500 0.5000  2 Zn 2.48, 4 Sn 2.63
Ir 0.5000 0.5000 0.0000  2 Zn 2.48, 4 Sn 2.63

Values from the calculation:
The energy relative to the elements comes out at -2 kJ/mol of formula units. Its crystal system is tetragonal. As for the density: 8.38 g/cm³. The volume is 24.53 A^3/atom. The space-group type is I-42d (122).



| no. | density of states at the Fermi level (states/eV/cell) |
| --- | --- |
| 1 | 5.4 |
| 2 | 1.6 |
| 3 | 2.2 |
| 4 | 4.7 |
| 5 | 2.1 |
| 6 | 4.6 |